Density functional theory data (PBE with a Hubbard U) for Li2CoSiO4 after structural relaxation.

The space group is P2_1 (No. 4) and the conventional cell measures 5.394, 5.013 and 6.348 Å, with angles of 90.00, 90.59 and 90.00 degrees. The distinct sites, in fractional coordinates, are Li at (0.157, 0.000, 0.269), Li at (0.335, 0.501, 0.500), Co at (0.319, 0.500, 0.007), Si at (0.175, 0.006, 0.743), O at (0.116, 0.400, 0.249), O at (0.180, 0.336, 0.751), O at (0.316, 0.895, 0.537) and O at (0.319, 0.903, 0.967).

The calculation puts the density of states at the Fermi level at 0.00 states/eV/cell. As for the energy above the most stable polymorph in this dataset: 14 meV per atom. Its size of the total moment is 6.00 μB/cell. Its total energy is -51.590 eV per formula unit.